Here is a relaxed BeHg3 crystal from Alexandria via LeMat-Bulk. Energies are from GGA-PBE.

abc: 4.9721 4.9721 3.5039
angles: 90.00 90.00 90.00
With the nearest neighbours (Å) after each atom.
Fractional coordinates of all 4 atoms:
Be 0.0000 0.0000 0.0000  8 Hg 3.04
Hg 0.0000 0.5000 0.5000  4 Hg 3.04, 4 Be 3.04
Hg 0.5000 0.0000 0.5000  4 Hg 3.04, 4 Be 3.04
Hg 0.5000 0.5000 0.0000  8 Hg 3.04

Properties
DOS at the Fermi energy   1.9 states/eV/cell
Volume   86.62 Å³ per cell
Final energy   -0.61 eV/atom
Distance to the lowest polymorph of the same formula   1.31 eV per formula unit
Calculated formation energy   0.55 eV per atom


Here is a relaxed YMgCo3 crystal from Alexandria via LeMat-Bulk. Energies are from GGA-PBE.

abc: 4.4072 4.4072 4.4072
angles: 90.00 90.00 90.00
With the nearest neighbours (Å) after each atom.
Fractional coordinates of all 5 atoms:
Y 0.0000 0.0000 0.0000  12 Co 3.12
Mg 0.5000 0.5000 0.5000  6 Co 2.20
Co 0.0000 0.5000 0.5000  2 Mg 2.20
Co 0.5000 0.0000 0.5000  2 Mg 2.20
Co 0.5000 0.5000 0.0000  2 Mg 2.20

Properties
DOS at the Fermi energy   5.6 states/eV/cell
Volume   85.60 Å³ per cell
Final energy   -5.08 eV/atom
Distance to the lowest polymorph of the same formula   0.00 eV per formula unit
Calculated formation energy   0.79 eV per atom


Here is a relaxed LiP2Ir crystal from Alexandria via LeMat-Bulk. Energies are from GGA-PBE.

abc: 4.2955 4.2955 3.0060
angles: 90.00 90.00 106.90
With the nearest neighbours (Å) after each atom.
Fractional coordinates of all 4 atoms:
Li 0.0000 0.0000 0.0000  2 Ir 2.56, 8 P 2.62
P 0.0000 0.5000 0.5000  2 P 2.56, 4 Li 2.62, 4 Ir 2.62
P 0.5000 0.0000 0.5000  2 P 2.56, 4 Li 2.62, 4 Ir 2.62
Ir 0.5000 0.5000 0.0000  2 Li 2.56, 8 P 2.62

Properties
DOS at the Fermi energy   2.5 states/eV/cell
Volume   53.07 Å³ per cell
Final energy   -5.51 eV/atom
Distance to the lowest polymorph of the same formula   1.91 eV per formula unit
Calculated formation energy   -0.11 eV per atom


Here is a relaxed Sc2TaTc crystal from Alexandria via LeMat-Bulk. Energies are from GGA-PBE.

abc: 3.2349 3.2349 7.5797
angles: 90.00 90.00 90.00
With the nearest neighbours (Å) after each atom.
Fractional coordinates of all 4 atoms:
Sc 0.0000 0.0000 0.0000  4 Tc 2.81, 1 Ta 3.09
Sc 0.5000 0.5000 0.3389  4 Ta 2.99, 4 Sc 3.23
Ta 0.0000 0.0000 0.5926  4 Tc 2.71, 4 Sc 2.99
Tc 0.5000 0.5000 0.7839  4 Ta 2.71, 4 Sc 2.81

Properties
DOS at the Fermi energy   3.1 states/eV/cell
Volume   79.32 Å³ per cell
Final energy   -8.90 eV/atom
Distance to the lowest polymorph of the same formula   0.00 eV per formula unit
Calculated formation energy   -0.18 eV per atom


Here is a relaxed AcCuPt crystal from Alexandria via LeMat-Bulk. Energies are from GGA-PBE.

abc: 4.4508 4.4508 4.1273
angles: 90.00 90.00 120.00
With the nearest neighbours (Å) after each atom.
Fractional coordinates of all 3 atoms:
Ac 0.0000 0.0000 0.0000  6 Cu 3.30, 6 Pt 3.30
Cu 0.3333 0.6667 0.5000  3 Pt 2.57
Pt 0.6667 0.3333 0.5000  3 Cu 2.57

Properties
DOS at the Fermi energy   1.3 states/eV/cell
Volume   70.81 Å³ per cell
Final energy   -5.51 eV/atom
Distance to the lowest polymorph of the same formula   0.04 eV per formula unit
Calculated formation energy   -0.76 eV per atom


Here is a relaxed Ce2MnCl crystal from Alexandria via LeMat-Bulk. Energies are from GGA-PBE.

abc: 7.8431 7.8431 7.8431
angles: 28.10 28.10 28.10
With the nearest neighbours (Å) after each atom.
Fractional coordinates of all 4 atoms:
Ce 0.0000 0.0000 0.0000  3 Mn 2.57
Ce 0.2027 0.2027 0.2027  3 Mn 2.74
Mn 0.6081 0.6081 0.6081  6 Ce 2.57-2.74
Cl 0.4345 0.4345 0.4345  6 Ce 3.17-3.18

Properties
DOS at the Fermi energy   3.3 states/eV/cell
Volume   94.55 Å³ per cell
Final energy   -6.27 eV/atom
Formation energy from raw total energies   -213 kJ/mol of formula units
Distance to the lowest polymorph of the same formula   0.09 eV per formula unit


Here is a relaxed PmCu2GeH crystal from Alexandria via LeMat-Bulk. Energies are from GGA-PBE.

abc: 5.7070 5.7070 6.7645
angles: 90.00 90.00 137.50
With the nearest neighbours (Å) after each atom.
Fractional coordinates of all 10 atoms:
Pm 0.0717 0.9283 0.7500  4 H 2.78, 3 Ge 3.03-3.09, 4 Cu 3.08
Pm 0.9283 0.0717 0.2500  4 H 2.78, 3 Ge 3.03-3.09, 4 Cu 3.08
Cu 0.3438 0.6562 0.5611  1 H 1.71
Cu 0.3438 0.6562 0.9389  1 H 1.71
Cu 0.6562 0.3438 0.0611  1 H 1.71
Cu 0.6562 0.3438 0.4389  1 H 1.71
Ge 0.2128 0.7872 0.2500  6 Cu 2.50-2.52
Ge 0.7872 0.2128 0.7500  6 Cu 2.50-2.52
H 0.5000 0.5000 0.0000  2 Cu 1.71
H 0.5000 0.5000 0.5000  2 Cu 1.71

Properties
DOS at the Fermi energy   1.6 states/eV/cell
Volume   148.86 Å³ per cell
Final energy   -4.58 eV/atom


Here is a relaxed ScTeIN2 crystal from Alexandria via LeMat-Bulk. Energies are from GGA-PBE.

abc: 4.0741 4.0741 6.8919
angles: 90.00 90.00 90.00
With the nearest neighbours (Å) after each atom.
Fractional coordinates of all 5 atoms:
Sc 0.0000 0.0000 0.0000  4 Te 2.88
Te 0.5000 0.5000 0.0000  4 Sc 2.88
I 0.5000 0.5000 0.5000  4 N 2.04
N 0.0000 0.5000 0.5000  2 I 2.04
N 0.5000 0.0000 0.5000  2 I 2.04

Properties
DOS at the Fermi energy   3.5 states/eV/cell
Volume   114.40 Å³ per cell
Final energy   -4.24 eV/atom
Formation energy from raw total energies   626 kJ/mol of formula units
Distance to the lowest polymorph of the same formula   2.96 eV per formula unit